No. 1
4
Lattice="3.9865 0.0000 0.0000 0.0000 3.9865 0.0000 -1.9933 -1.9933 4.4668" Properties=species:S:1:pos:R:3 comment="meta-GGA SCAN Ta2IrPb, single point on PBEsol structure" energy_ev_per_cell=-279.3 delta_e_f_ev_per_atom=0.184 total_magnetization_mub_per_atom=0.000 sg="I-4m2, No. 119" pbc="T T T"
Ir 1.9933 1.9933 0.0000
Pb 0.0000 1.9933 2.2334
Ta 0.0000 0.0000 0.0000
Ta 1.9933 0.0000 2.2334

***

No. 2
4
Lattice="-3.1389 2.7921 -0.5784 -1.7570 0.4510 -3.8331 -5.7581 -3.2719 -0.0914" Properties=species:S:1:pos:R:3 comment="meta-GGA SCAN CaReTe2, single point on PBEsol structure" energy_ev_per_cell=-156.4 e_form_raw_ev_per_atom=-0.273 total_magnetization_mub_per_atom=0.161 sg="R-3m, No. 166" pbc="T T T"
Te -2.8960 -0.2525 -1.0480
Te -7.7580 0.2237 -3.4549
Re -5.3270 -0.0144 -2.2514
Ca 0.0000 0.0000 0.0000

***

No. 3
4
Lattice="-2.9477 0.2865 -0.1042 -0.4699 -3.8358 2.7453 0.3011 4.0461 2.6096" Properties=species:S:1:pos:R:3 comment="meta-GGA SCAN MnInSi2, single point on PBEsol structure" energy_ev_per_cell=-70.1 e_form_raw_ev_per_atom=0.389 total_magnetization_mub_per_atom=0.880 sg="P2/m, No. 10" pbc="T T T"
Si 0.0000 0.0000 0.0000
Si -1.7088 -1.7746 1.3206
In -1.3233 2.1663 1.2527
Mn -0.0844 0.1052 2.6775

***

> What is the formula in the first record?

Ta2IrPb